1.
Entry from the Alexandria database: a relaxed BaZnSnAu3 crystal (PBE).

Cell: 7.5843 6.4217 7.1512 Å, 116.68 90.00 90.00°
Closest atoms and distances in Å follow each position.
Positions (direct):
Au 0.5000 0.7356 0.0000  2 Zn 2.56, 2 Sn 2.81
Au 0.0000 0.7356 0.0000  2 Zn 2.56, 2 Sn 2.81
Au 0.5000 0.2644 0.0000  2 Zn 2.56, 2 Sn 2.81
Au 0.0000 0.2644 0.0000  2 Zn 2.56, 2 Sn 2.81
Au 0.7500 0.8230 0.6460  1 Zn 2.57, 1 Sn 2.71
Au 0.2500 0.1770 0.3540  1 Zn 2.57, 1 Sn 2.71
Zn 0.7500 0.0243 0.0486  5 Au 2.56-2.57
Zn 0.2500 0.9757 0.9514  5 Au 2.56-2.57
Sn 0.2500 0.3888 0.7776  5 Au 2.71-2.81
Sn 0.7500 0.6112 0.2224  5 Au 2.71-2.81
Ba 0.2500 0.7118 0.4235  2 Au 3.24, 1 Zn 3.37
Ba 0.7500 0.2882 0.5765  2 Au 3.24, 1 Zn 3.37

Properties
The calculation puts the energy relative to the elements at -387 meV/atom. The value obtained for the total energy is -3.23 eV/atom.



2.
Entry from the Alexandria database: a relaxed BiWSe2N crystal (PBE).

Cell: 5.1824 5.1824 3.8310 Å, 90.00 90.00 90.00°
Closest atoms and distances in Å follow each position.
Positions (direct):
Bi 0.5000 0.5000 0.5000  8 Se 3.22
Se 0.5000 0.0000 0.0000  2 W 2.59
Se 0.0000 0.5000 0.0000  2 W 2.59
W 0.0000 0.0000 0.0000  2 N 1.92
N 0.0000 0.0000 0.5000  2 W 1.92

Properties
The value obtained for the total energy is -6.31 eV/atom. The uncorrected formation energy comes out at 112 meV/atom. As for the relative energy among the computed polymorphs: 0.0 meV per atom.



3.
Entry from the Alexandria database: a relaxed Pr2Y3Th2 crystal (PBE).

Cell: 3.4748 8.7385 9.0745 Å, 118.94 101.04 90.00°
Closest atoms and distances in Å follow each position.
Positions (direct):
Y 0.7836 0.2029 0.5673  5 Y 3.42-3.58, 3 Th 3.46-3.61, 3 Pr 3.48-3.77
Y 0.0000 0.5000 0.0000  4 Y 3.42-3.47, 2 Th 3.56, 4 Pr 3.64
Y 0.2164 0.7971 0.4327  5 Y 3.42-3.58, 3 Th 3.46-3.61, 3 Pr 3.48-3.77
Pr 0.5623 0.9113 0.1247  3 Pr 3.27-3.47, 3 Y 3.48-3.64
Pr 0.4377 0.0887 0.8753  3 Pr 3.27-3.47, 3 Y 3.48-3.64
Th 0.8454 0.6457 0.6908  4 Y 3.46-3.61, 4 Th 3.47-3.54, 4 Pr 3.80-3.81
Th 0.1546 0.3543 0.3092  4 Y 3.46-3.61, 4 Th 3.47-3.54, 4 Pr 3.80-3.81

Properties
The calculation puts the energy relative to the elements at 149 meV/atom. The value obtained for the total energy is -6.11 eV/atom. As for the relative energy among the computed polymorphs: 100.5 meV per atom.



4.
Entry from the Alexandria database: a relaxed MgMo2 crystal (PBE).

Cell: 5.3343 5.3343 5.3343 Å, 144.06 144.06 51.73°
Closest atoms and distances in Å follow each position.
Positions (direct):
Mg 0.0000 0.0000 0.0000  10 Mo 2.95-2.99, 4 Mg 3.29
Mo 0.6889 0.6889 0.0000  4 Mo 2.61
Mo 0.3111 0.3111 0.0000  4 Mo 2.61

Properties
The calculation puts the energy relative to the elements at 263 meV/atom. The value obtained for the total energy is -7.49 eV/atom. As for the relative energy among the computed polymorphs: 78.1 meV per atom.



5.
Entry from the Alexandria database: a relaxed Pr4Nd5Y crystal (PBE).

Cell: 5.9424 10.9024 10.9021 Å, 90.00 90.00 90.00°
Closest atoms and distances in Å follow each position.
Positions (direct):
Pr 0.3682 0.5000 0.7958  1 Nd 3.12, 1 Y 3.23
Pr 0.3682 0.5000 0.2042  1 Nd 3.12, 1 Y 3.23
Pr 0.3682 0.7957 0.5000  1 Nd 3.12, 1 Y 3.22
Pr 0.6318 0.7043 0.0000  1 Nd 3.12, 1 Y 3.22
Pr 0.6318 0.0000 0.7042  1 Nd 3.12, 1 Y 3.23
Pr 0.6318 0.2957 0.0000  1 Nd 3.12, 1 Y 3.22
Pr 0.6318 0.0000 0.2958  1 Nd 3.12, 1 Y 3.23
Pr 0.3682 0.2043 0.5000  1 Nd 3.12, 1 Y 3.22
Y 0.3545 0.5000 0.5000  4 Pr 3.22-3.23
Y 0.6455 0.0000 0.0000  4 Pr 3.22-3.23
Nd 0.1644 0.1615 0.8385  3 Nd 3.36-3.52, 2 Pr 3.60
Nd 0.8356 0.6615 0.3385  3 Nd 3.36-3.52, 2 Pr 3.60
Nd 0.8356 0.3385 0.3385  3 Nd 3.36-3.52, 2 Pr 3.60
Nd 0.8356 0.3385 0.6615  3 Nd 3.36-3.52, 2 Pr 3.60
Nd 0.1644 0.8385 0.8385  3 Nd 3.36-3.52, 2 Pr 3.60
Nd 0.1644 0.8385 0.1615  3 Nd 3.36-3.52, 2 Pr 3.60
Nd 0.0002 0.0000 0.5000  4 Pr 3.12
Nd 0.1644 0.1615 0.1615  3 Nd 3.36-3.52, 2 Pr 3.60
Nd 0.9998 0.5000 0.0000  4 Pr 3.12
Nd 0.8356 0.6615 0.6615  3 Nd 3.36-3.52, 2 Pr 3.60

Properties
The calculation puts the energy relative to the elements at 169 meV/atom. The value obtained for the total energy is -4.77 eV/atom. As for the relative energy among the computed polymorphs: 156.4 meV per atom.



6.
Entry from the Alexandria database: a relaxed HfCd3Rh crystal (PBE).

Cell: 5.4153 5.4153 5.4153 Å, 90.00 90.00 90.00°
Closest atoms and distances in Å follow each position.
Positions (direct):
Cd 0.0000 0.0000 0.5000  2 Hf 2.71
Cd 0.5000 0.0000 0.0000  2 Hf 2.71
Cd 0.0000 0.5000 0.0000  2 Hf 2.71
Hf 0.0000 0.0000 0.0000  6 Cd 2.71
Rh 0.5000 0.5000 0.5000  12 Cd 3.83

Properties
The calculation puts the energy relative to the elements at 1517 meV/atom. The value obtained for the total energy is -2.49 eV/atom. As for the relative energy among the computed polymorphs: 838.3 meV per atom.



7.
Entry from the Alexandria database: a relaxed Fe2PbS2 crystal (PBE).

Cell: 3.7089 3.7089 6.6476 Å, 73.80 73.80 90.00°
Closest atoms and distances in Å follow each position.
Positions (direct):
S 0.6547 0.6547 0.6906  4 Fe 2.19
S 0.3453 0.3453 0.3094  4 Fe 2.19
Fe 0.2500 0.7500 0.5000  4 S 2.19
Fe 0.7500 0.2500 0.5000  4 S 2.19
Pb 0.0000 0.0000 0.0000  8 S 3.23, 8 Fe 3.57

Properties
The value obtained for the total energy is -6.04 eV/atom. The uncorrected formation energy comes out at -264 meV/atom. As for the relative energy among the computed polymorphs: 0.0 meV per atom.



8.
Entry from the Alexandria database: a relaxed BaSr3I crystal (PBE).

Cell: 7.5592 7.5592 7.5592 Å, 90.00 90.00 90.00°
Closest atoms and distances in Å follow each position.
Positions (direct):
Sr 0.0000 0.0000 0.5000  2 Ba 3.78
Sr 0.5000 0.0000 0.0000  2 Ba 3.78
Sr 0.0000 0.5000 0.0000  2 Ba 3.78
Ba 0.0000 0.0000 0.0000  6 Sr 3.78
I 0.5000 0.5000 0.5000  12 Sr 5.35

Properties
The value obtained for the total energy is -1.19 eV/atom. The uncorrected formation energy comes out at 512 meV/atom. As for the relative energy among the computed polymorphs: 755.5 meV per atom.